Density functional theory data (GGA+U) for a geometry-optimized KMn2AgF8 structure. Values from VASP.

Quantum ESPRESSO input file:
```
&SYSTEM
  ibrav = 0, nat = 12, ntyp = 4
/
ATOMIC_SPECIES
K 39.10 K.upf
Mn 54.94 Mn.upf
Ag 107.87 Ag.upf
F 19.00 F.upf
CELL_PARAMETERS angstrom
5.782 0.000 0.000
-2.891 5.007 0.000
0.000 0.000 6.615
ATOMIC_POSITIONS crystal
K 0.000 0.000 0.000
Mn 0.333 0.667 0.403
Mn 0.667 0.333 0.597
Ag 0.000 0.000 0.500
F 0.048 0.386 0.638
F 0.333 0.667 0.126
F 0.338 0.952 0.638
F 0.386 0.338 0.362
F 0.614 0.662 0.638
F 0.662 0.048 0.362
F 0.667 0.333 0.874
F 0.952 0.614 0.362
```

Output
- V (Å³ per cell) = 191.5
- energy (eV/atom) = -4.90
- Fermi-level density of states (states/eV/cell) = 2.9
- total magnetization (Bohr magnetons per cell) = 8.0